The following is a GGA-PBE calculation of crystalline KRb2Tl12Cd3 at its relaxed geometry, from Alexandria via LeMat-Bulk.

Calculated values
* calculated formation energy: 0.060 eV/atom
* volume: 38.07 Å³ per atom
* symmetry: R-3m
* energy: -33.09 eV/cell

abc: 12.6588 12.6588 12.6588
angles: 37.85 37.85 37.85
Last column: nearest neighbours and their distance in Å.
Fractional coordinates of all 18 atoms:
Tl 0.6357 0.0652 0.0652  1 Cd 3.14, 2 Tl 3.17, 1 K 3.42
Tl 0.9348 0.3643 0.9348  1 Cd 3.14, 2 Tl 3.17, 1 K 3.42
Tl 0.4142 0.4142 0.8090  2 Cd 3.11, 4 Tl 3.17-3.24
Tl 0.8090 0.4142 0.4142  2 Cd 3.11, 4 Tl 3.17-3.24
Tl 0.5858 0.5858 0.1910  2 Cd 3.11, 4 Tl 3.17-3.24
K 0.0000 0.0000 0.0000  6 Tl 3.42
Rb 0.3526 0.3526 0.3526  6 Tl 4.04-4.36
Cd 0.5000 0.0000 0.0000  6 Tl 3.11-3.14
Tl 0.4142 0.8090 0.4142  2 Cd 3.11, 4 Tl 3.17-3.24
Tl 0.9348 0.9348 0.3643  1 Cd 3.14, 2 Tl 3.17, 1 K 3.42
Tl 0.0652 0.6357 0.0652  1 Cd 3.14, 2 Tl 3.17, 1 K 3.42
Rb 0.6474 0.6474 0.6474  6 Tl 4.04-4.36
Tl 0.3643 0.9348 0.9348  1 Cd 3.14, 2 Tl 3.17, 1 K 3.42
Tl 0.5858 0.1910 0.5858  2 Cd 3.11, 4 Tl 3.17-3.24
Tl 0.1910 0.5858 0.5858  2 Cd 3.11, 4 Tl 3.17-3.24
Cd 0.0000 0.5000 0.0000  6 Tl 3.11-3.14
Cd 0.0000 0.0000 0.5000  6 Tl 3.11-3.14
Tl 0.0652 0.0652 0.6357  1 Cd 3.14, 2 Tl 3.17, 1 K 3.42

***

The following is a GGA-PBE calculation of crystalline KRbV2Cd at its relaxed geometry, from Alexandria via LeMat-Bulk.

Calculated values
* calculated formation energy: 1.806 eV/atom
* volume: 45.48 Å³ per atom
* symmetry: P4/mmm
* energy: -12.19 eV/cell

abc: 5.9162 6.4974 5.9162
angles: 90.00 90.00 90.00
Last column: nearest neighbours and their distance in Å.
Fractional coordinates of all 5 atoms:
V 0.5000 0.0000 0.0000  2 Rb 2.96
K 0.5000 0.5000 0.5000  4 Cd 4.18, 8 V 4.39
Rb 0.0000 0.0000 0.0000  4 V 2.96, 2 Cd 3.25
Cd 0.0000 0.5000 0.0000  2 Rb 3.25
V 0.0000 0.0000 0.5000  2 Rb 2.96

***

The following is a GGA-PBE calculation of crystalline K2RbCdW at its relaxed geometry, from Alexandria via LeMat-Bulk.

Calculated values
* calculated formation energy: 1.108 eV/atom
* volume: 49.04 Å³ per atom
* symmetry: P4/mmm
* energy: -11.49 eV/cell

abc: 6.6472 5.5494 6.6472
angles: 90.00 90.00 90.00
Last column: nearest neighbours and their distance in Å.
Fractional coordinates of all 5 atoms:
K 0.0000 0.0000 0.5000  2 Cd 3.32
Cd 0.0000 0.0000 0.0000  2 W 2.77
W 0.0000 0.5000 0.0000  2 Cd 2.77
K 0.5000 0.0000 0.0000  2 Cd 3.32
Rb 0.5000 0.5000 0.5000  8 K 4.33, 4 W 4.70

***

Q: Among the records above, which one has the highest energy?
A: K2RbCdW

***

Q: Which value of volume does entry 3 give?
A: 49.04 Å³ per atom

***

What did the second record say?
The following is a GGA-PBE calculation of crystalline KRbV2Cd at its relaxed geometry, from Alexandria via LeMat-Bulk.

Calculated values
* calculated formation energy: 1.806 eV/atom
* volume: 45.48 Å³ per atom
* symmetry: P4/mmm
* energy: -12.19 eV/cell

abc: 5.9162 6.4974 5.9162
angles: 90.00 90.00 90.00
Last column: nearest neighbours and their distance in Å.
Fractional coordinates of all 5 atoms:
V 0.5000 0.0000 0.0000  2 Rb 2.96
K 0.5000 0.5000 0.5000  4 Cd 4.18, 8 V 4.39
Rb 0.0000 0.0000 0.0000  4 V 2.96, 2 Cd 3.25
Cd 0.0000 0.5000 0.0000  2 Rb 3.25
V 0.0000 0.0000 0.5000  2 Rb 2.96

***

What did the first record say?
The following is a GGA-PBE calculation of crystalline KRb2Tl12Cd3 at its relaxed geometry, from Alexandria via LeMat-Bulk.

Calculated values
* calculated formation energy: 0.060 eV/atom
* volume: 38.07 Å³ per atom
* symmetry: R-3m
* energy: -33.09 eV/cell

abc: 12.6588 12.6588 12.6588
angles: 37.85 37.85 37.85
Last column: nearest neighbours and their distance in Å.
Fractional coordinates of all 18 atoms:
Tl 0.6357 0.0652 0.0652  1 Cd 3.14, 2 Tl 3.17, 1 K 3.42
Tl 0.9348 0.3643 0.9348  1 Cd 3.14, 2 Tl 3.17, 1 K 3.42
Tl 0.4142 0.4142 0.8090  2 Cd 3.11, 4 Tl 3.17-3.24
Tl 0.8090 0.4142 0.4142  2 Cd 3.11, 4 Tl 3.17-3.24
Tl 0.5858 0.5858 0.1910  2 Cd 3.11, 4 Tl 3.17-3.24
K 0.0000 0.0000 0.0000  6 Tl 3.42
Rb 0.3526 0.3526 0.3526  6 Tl 4.04-4.36
Cd 0.5000 0.0000 0.0000  6 Tl 3.11-3.14
Tl 0.4142 0.8090 0.4142  2 Cd 3.11, 4 Tl 3.17-3.24
Tl 0.9348 0.9348 0.3643  1 Cd 3.14, 2 Tl 3.17, 1 K 3.42
Tl 0.0652 0.6357 0.0652  1 Cd 3.14, 2 Tl 3.17, 1 K 3.42
Rb 0.6474 0.6474 0.6474  6 Tl 4.04-4.36
Tl 0.3643 0.9348 0.9348  1 Cd 3.14, 2 Tl 3.17, 1 K 3.42
Tl 0.5858 0.1910 0.5858  2 Cd 3.11, 4 Tl 3.17-3.24
Tl 0.1910 0.5858 0.5858  2 Cd 3.11, 4 Tl 3.17-3.24
Cd 0.0000 0.5000 0.0000  6 Tl 3.11-3.14
Cd 0.0000 0.0000 0.5000  6 Tl 3.11-3.14
Tl 0.0652 0.0652 0.6357  1 Cd 3.14, 2 Tl 3.17, 1 K 3.42